Below is Ba2MoRu3O12 after structural relaxation, with properties calculated at the GGA+U level.

Output
As for the symmetry: R-3m. For the raw total energy, the calculation gives -6.9292 eV per atom. The crystal system is trigonal. For the calculated volume, the calculation gives 14.7 Å³/atom.

abc: 7.2972 7.2972 7.2972
angles: 58.25 58.25 58.25
Fractional coordinates of all 18 atoms:
1 Ba 0.1158 0.1158 0.1158
2 Ba 0.8842 0.8842 0.8842
3 Mo 0.5000 0.5000 0.5000
4 Ru 0.0000 0.5000 0.5000
5 Ru 0.5000 0.0000 0.5000
6 Ru 0.5000 0.5000 0.0000
7 O 0.1774 0.1774 0.5803
8 O 0.1770 0.5740 0.5740
9 O 0.1774 0.5803 0.1774
10 O 0.4197 0.8226 0.8226
11 O 0.4260 0.4260 0.8230
12 O 0.4260 0.8230 0.4260
13 O 0.5740 0.1770 0.5740
14 O 0.5740 0.5740 0.1770
15 O 0.5803 0.1774 0.1774
16 O 0.8226 0.4197 0.8226
17 O 0.8230 0.4260 0.4260
18 O 0.8226 0.8226 0.4197